Entry 1:
Density functional theory data (PBE) for a relaxed structure of RbTa3As.

## Properties
Electronic total energy: -6.7943 eV per atom
M_tot: 0.00 μB/f.u.
Calculated formation energy: 1.44 eV per atom
Crystal system: cubic

abc: 4.956 4.956 4.956
angles: 90.00 90.00 90.00
Fractional coordinates of all 5 atoms:
Rb 0.000 0.000 0.000
Ta 0.000 0.500 0.500
Ta 0.500 0.000 0.500
Ta 0.500 0.500 0.000
As 0.500 0.500 0.500

=====

Entry 2:
Density functional theory data (PBE) for a relaxed structure of RbTaAs3.

## Properties
Electronic total energy: -2.9542 eV per atom
M_tot: 0.00 μB/f.u.
Calculated formation energy: 2.40 eV per atom
Crystal system: cubic

abc: 5.201 5.201 5.201
angles: 90.00 90.00 90.00
Fractional coordinates of all 5 atoms:
Rb 0.000 0.000 0.000
Ta 0.500 0.500 0.500
As 0.000 0.000 0.500
As 0.000 0.500 0.000
As 0.500 0.000 0.000

=====

Entry 3:
Density functional theory data (PBE) for a relaxed structure of Rb2TaAs.

## Properties
Electronic total energy: -4.0064 eV per atom
M_tot: 2.00 μB/f.u.
Calculated formation energy: 0.60 eV per atom
Crystal system: tetragonal

abc: 13.343 13.343 4.991
angles: 90.00 90.00 90.00
Fractional coordinates of all 16 atoms:
Rb 0.059 0.250 0.125
Rb 0.250 0.559 0.375
Rb 0.250 0.941 0.875
Rb 0.441 0.250 0.625
Rb 0.559 0.750 0.625
Rb 0.750 0.059 0.875
Rb 0.750 0.441 0.375
Rb 0.941 0.750 0.125
Ta 0.000 0.000 0.500
Ta 0.000 0.500 0.750
Ta 0.500 0.000 0.250
Ta 0.500 0.500 0.000
As 0.000 0.000 0.000
As 0.000 0.500 0.250
As 0.500 0.000 0.750
As 0.500 0.500 0.500